TaTi2PdN, relaxed, DFT GGA-PBE; electronic total energy = -9.08 eV/atom; total moment = 0.7 μB/f.u.
1.0
-2.0673 3.5497 0.2241
-3.5558 -2.0569 -0.2222
-0.0819 -0.3141 4.2193
Ti Ta N Pd
2 1 1 1
direct
0.5000 0.0000 0.0000
0.0000 0.5000 0.0000
0.0000 0.0000 0.5000
0.0000 0.0000 0.0000
0.5000 0.5000 0.5000


Ta2TiPdN, relaxed, DFT GGA-PBE; electronic total energy = -9.71 eV/atom; total moment = 0.0 μB/f.u.
1.0
-3.7436 -1.8943 -0.5496
0.3418 -1.7841 3.8217
-1.8868 3.2409 1.6817
Ta Ti Pd N
2 1 1 1
direct
0.0000 0.5000 0.0000
0.5000 0.0000 0.0000
0.0000 0.0000 0.5000
0.5000 0.5000 0.5000
0.0000 0.0000 0.0000


Ta2VPdN, relaxed, DFT GGA-PBE; electronic total energy = -9.85 eV/atom; total moment = 0.0 μB/f.u.
1.0
4.2668 0.0000 0.0000
0.0000 4.2668 0.0000
0.0000 0.0000 3.8905
Pd N Ta V
1 1 2 1
direct
0.5000 0.5000 0.5000
0.0000 0.0000 0.0000
0.0000 0.5000 0.0000
0.5000 0.0000 0.0000
0.0000 0.0000 0.5000


Ta2ZnPdN, relaxed, DFT GGA-PBE; electronic total energy = -7.97 eV/atom; total moment = 0.0 μB/f.u.
1.0
-4.0399 -0.9841 0.2479
1.0297 -3.9069 1.2716
-0.0668 1.2731 3.9656
Ta Pd N Zn
2 1 1 1
direct
0.5000 0.0000 0.0000
0.0000 0.0000 0.5000
0.5000 0.5000 0.5000
0.0000 0.0000 0.0000
0.0000 0.5000 0.0000


Tb12Pd6N, relaxed, DFT GGA-PBE; electronic total energy = -5.62 eV/atom; total moment = 0.0 μB/f.u.
1.0
8.0279 0.0427 0.0511
-1.1749 7.9416 0.0511
-1.1749 -1.3688 7.8229
N Pd Tb
1 6 12
direct
0.0000 0.0000 0.0000
0.6990 0.8812 0.3652
0.1188 0.6348 0.3010
0.3010 0.1188 0.6348
0.8812 0.3652 0.6990
0.3652 0.6990 0.8812
0.6348 0.3010 0.1188
0.3044 0.0793 0.9775
0.0225 0.6956 0.9207
0.9775 0.3044 0.0793
0.1879 0.4139 0.5650
0.5650 0.1879 0.4139
0.8121 0.5861 0.4350
0.4139 0.5650 0.1879
0.4350 0.8121 0.5861
0.5861 0.4350 0.8121
0.0793 0.9775 0.3044
0.6956 0.9207 0.0225
0.9207 0.0225 0.6956


Tb6Pd2N, relaxed, DFT GGA-PBE; electronic total energy = -5.93 eV/atom; total moment = 0.0 μB/f.u.
1.0
-5.1019 0.3121 4.0290
0.3742 -6.9513 1.0123
5.8301 1.4139 7.5541
Tb N Pd
12 2 4
direct
0.6144 0.4709 0.7599
0.1144 0.0291 0.2599
0.8079 0.6788 0.0555
0.1921 0.3212 0.9445
0.8856 0.9709 0.7401
0.3856 0.5291 0.2401
0.3238 0.8035 0.9442
0.1762 0.3035 0.5558
0.8238 0.6965 0.4442
0.6762 0.1965 0.0558
0.6921 0.1788 0.4445
0.3079 0.8212 0.5555
0.5000 0.5000 0.0000
0.0000 0.0000 0.5000
0.0433 0.5902 0.7511
0.5433 0.9098 0.2511
0.9567 0.4098 0.2489
0.4567 0.0902 0.7489


Tb12Pd3N5, relaxed, DFT GGA-PBE; electronic total energy = -6.56 eV/atom; total moment = 0.0 μB/f.u.
1.0
-7.8818 4.0886 -9.9193
4.4320 -12.2758 -2.6257
-6.8946 -0.1125 11.3878
Tb Pd N
48 12 20
direct
0.2024 0.5195 0.6168
0.0195 0.6168 0.7024
0.8171 0.9144 0.2976
0.5974 0.9805 0.6829
0.8832 0.5856 0.9026
0.2976 0.8832 0.9805
0.0856 0.9026 0.3832
0.7024 0.5856 0.1830
0.4144 0.1168 0.5974
0.4026 0.3832 0.5856
0.7976 0.3170 0.9144
0.6829 0.2024 0.5856
0.1168 0.7024 0.5195
0.7976 0.4805 0.3832
0.0195 0.4026 0.8171
0.3832 0.9805 0.7976
0.5974 0.6168 0.4144
0.5856 0.7024 0.6829
0.9026 0.0856 0.8832
0.9805 0.3832 0.2976
0.8832 0.2976 0.4805
0.6168 0.0195 0.2024
0.8171 0.9026 0.0195
0.0974 0.9144 0.1168
0.9026 0.8171 0.5195
0.0856 0.1830 0.2024
0.3832 0.4026 0.0856
0.4026 0.0195 0.3170
0.1168 0.4144 0.0974
0.0974 0.1830 0.4805
0.4805 0.7976 0.8832
0.6168 0.5974 0.9144
0.4144 0.2976 0.3170
0.9144 0.8171 0.7976
0.5195 0.2024 0.1168
0.4805 0.6829 0.0974
0.2976 0.4144 0.8171
0.2024 0.6829 0.0856
0.6829 0.4805 0.5974
0.9144 0.0974 0.6168
0.7024 0.1168 0.0195
0.9805 0.5974 0.1830
0.5856 0.8832 0.4026
0.1830 0.0974 0.9805
0.3170 0.5195 0.4026
0.1830 0.0856 0.7024
0.5195 0.3170 0.9026
0.3170 0.7976 0.4144
0.7500 0.3750 0.1250
0.1250 0.2500 0.8750
0.2500 0.6250 0.8750
0.3750 0.7500 0.6250
0.1250 0.8750 0.7500
0.7500 0.8750 0.6250
0.2500 0.1250 0.3750
0.3750 0.6250 0.2500
0.6250 0.3750 0.7500
0.8750 0.1250 0.2500
0.6250 0.2500 0.3750
0.8750 0.7500 0.1250
0.0000 0.0000 0.0000
0.5000 0.0000 0.0000
0.1250 0.7500 0.3750
0.7500 0.6250 0.3750
0.1250 0.3750 0.2500
0.3750 0.2500 0.1250
0.5000 0.5000 0.0000
0.8750 0.2500 0.6250
0.2500 0.3750 0.6250
0.3750 0.1250 0.7500
0.0000 0.5000 0.0000
0.0000 0.5000 0.5000
0.0000 0.0000 0.5000
0.6250 0.8750 0.2500
0.5000 0.0000 0.5000
0.6250 0.7500 0.8750
0.8750 0.6250 0.7500
0.2500 0.8750 0.1250
0.7500 0.1250 0.8750
0.5000 0.5000 0.5000


Tb4Pd2N, relaxed, DFT GGA-PBE; electronic total energy = -6.18 eV/atom; total moment = 0.0 μB/f.u.
1.0
4.7150 0.0000 0.0000
0.0000 4.7150 0.0000
-2.3575 -2.3575 7.2120
Tb Pd N
4 2 1
direct
0.8233 0.8233 0.6466
0.5000 0.0000 0.0000
0.1767 0.1767 0.3534
0.0000 0.5000 0.0000
0.6314 0.6314 0.2627
0.3686 0.3686 0.7373
0.0000 0.0000 0.0000


TcPdN, relaxed, DFT GGA-PBE; electronic total energy = -7.63 eV/atom; total moment = 0.0 μB/f.u.
1.0
3.5004 0.9216 -0.3216
-0.6618 2.6408 0.3492
-1.1701 0.0700 7.9724
Pd N Tc
2 2 2
direct
0.6999 0.2999 0.8997
0.3001 0.7001 0.1003
0.4590 0.0419 0.4182
0.5410 0.9581 0.5818
0.0935 0.9058 0.6870
0.9065 0.0942 0.3130


Tc2PdN, relaxed, DFT GGA-PBE; electronic total energy = -7.98 eV/atom; total moment = 0.0 μB/f.u.
1.0
-1.1662 -0.6365 -2.8003
-2.8043 -1.2956 -0.2529
-4.2916 5.8261 -1.2524
Tc N Pd
2 1 1
direct
0.1200 0.1200 0.6401
0.8800 0.8800 0.3599
0.5000 0.5000 0.5000
0.0000 0.0000 0.0000


TcPdN2, relaxed, DFT GGA-PBE; relative energy among the computed polymorphs = 0 meV per atom; total moment = 0.0 μB/f.u.
1.0
0.1438 -6.6823 -0.7128
2.6020 -6.1667 0.6193
0.1924 -6.3779 2.1135
Tc N Pd
1 2 1
direct
0.5000 0.5000 0.5000
0.8979 0.8979 0.8979
0.1021 0.1021 0.1021
0.0000 0.0000 0.0000


TcPdN2, relaxed, DFT GGA-PBE; relative energy among the computed polymorphs = 975 meV per atom; total moment = 0.0 μB/f.u.
1.0
-0.2406 -2.1541 3.1818
-3.2511 -0.0318 2.0619
-2.2268 -3.1404 0.0347
Tc N Pd
1 2 1
direct
0.0000 0.0000 0.0000
0.2500 0.2500 0.2500
0.7500 0.7500 0.7500
0.5000 0.5000 0.5000


| no. | calculated volume (Å³ per cell) |
| --- | --- |
| 1 | 71.62 |
| 2 | 73.59 |
| 3 | 70.83 |
| 4 | 73.49 |
| 5 | 500.25 |
| 6 | 441.58 |
| 7 | 1816.30 |
| 8 | 160.33 |
| 9 | 77.12 |
| 10 | 59.26 |
| 11 | 45.63 |
| 12 | 40.35 |